Here is a geometry-optimized Sm3MnO structure from Alexandria via LeMat-Bulk. Energies are from PBE with a Hubbard U.

```
Sm3MnO
1.0
4.921 0.000 0.000
0.000 4.921 0.000
0.000 0.000 4.921
Sm Mn O
3 1 1
Direct
0.000 0.000 0.500 Sm
0.000 0.500 0.000 Sm
0.500 0.000 0.000 Sm
0.500 0.500 0.500 Mn
0.000 0.000 0.000 O
```

Its space group is Pm-3m, No. 221. For the theoretical density, the calculation gives 7.27 g/cm3. Its total energy is -6.360 eV/atom.